# 1
First-principles (GGA-PBE) data for a relaxed Y2HfMnBe crystal, as listed in the Alexandria database.

Cell lengths 5.4097, 5.4097, 4.5709 Å; angles 90.00, 90.00, 90.00 degrees
Last column: nearest neighbours and their distance in Å.
Fractional coordinates of all 5 atoms:
Y: 0.0000 0.5000 0.0000  2 Hf 2.70
Y: 0.5000 0.0000 0.0000  2 Hf 2.70
Hf: 0.0000 0.0000 0.0000  2 Be 2.29
Mn: 0.5000 0.5000 0.5000  8 Y 3.54, 4 Be 3.83
Be: 0.0000 0.0000 0.5000  2 Hf 2.29

Symmetry: P4/mmm (123)
Spin magnetization (μB per formula unit): 0.01
ρ (g cm⁻³): 5.217
DFT total energy (eV/cell): -27.30

---

# 2
First-principles (GGA-PBE) data for a relaxed HfBe2Mo crystal, as listed in the Alexandria database.

Cell lengths 6.3021, 6.3021, 6.3021 Å; angles 30.44, 30.44, 30.44 degrees
Last column: nearest neighbours and their distance in Å.
Fractional coordinates of all 4 atoms:
Hf: 0.0000 0.0000 0.0000  6 Be 2.56
Be: 0.2387 0.2387 0.2387  3 Mo 2.31, 3 Hf 2.56
Be: 0.7613 0.7613 0.7613  3 Mo 2.31, 3 Hf 2.56
Mo: 0.5000 0.5000 0.5000  6 Be 2.31

Offset from the most stable computed form (meV/atom): 188
Symmetry: R-3m (166)
Spin magnetization (μB per formula unit): 0.00
ρ (g cm⁻³): 8.530
DFT total energy (eV/cell): -27.29

---

# 3
First-principles (GGA-PBE) data for a relaxed HfBe2Mo crystal, as listed in the Alexandria database.

Cell lengths 8.7595, 8.7595, 8.7595 Å; angles 154.02, 154.02, 37.07 degrees
Last column: nearest neighbours and their distance in Å.
Fractional coordinates of all 8 atoms:
Hf: 0.0000 0.0000 0.0000  4 Mo 2.78, 4 Be 2.80
Hf: 0.7500 0.2500 0.5000  4 Mo 2.78, 4 Be 2.80
Be: 0.2828 0.6250 0.1578  2 Be 2.10, 2 Mo 2.33
Be: 0.3750 0.5328 0.6578  2 Be 2.10, 2 Mo 2.33
Be: 0.4672 0.1250 0.8422  2 Be 2.10, 2 Mo 2.33
Be: 0.8750 0.7172 0.3422  2 Be 2.10, 2 Mo 2.33
Mo: 0.2500 0.7500 0.5000  4 Be 2.33
Mo: 0.5000 0.5000 0.0000  4 Be 2.33

Offset from the most stable computed form (meV/atom): 587
Symmetry: I-42d (122)
Spin magnetization (μB per formula unit): 0.00
ρ (g cm⁻³): 7.540
DFT total energy (eV/cell): -51.39

---

# 4
First-principles (GGA-PBE) data for a relaxed Hf2BeMo crystal, as listed in the Alexandria database.

Cell lengths 5.8038, 5.8038, 5.8038 Å; angles 102.67, 102.67, 124.14 degrees
Last column: nearest neighbours and their distance in Å.
Fractional coordinates of all 8 atoms:
Hf: 0.1087 0.6250 0.9837  2 Be 2.57, 2 Hf 2.73, 2 Mo 2.73
Hf: 0.3750 0.3587 0.4837  2 Be 2.57, 2 Hf 2.73, 2 Mo 2.73
Hf: 0.6413 0.1250 0.0163  2 Be 2.57, 2 Hf 2.73, 2 Mo 2.73
Hf: 0.8750 0.8913 0.5163  2 Be 2.57, 2 Hf 2.73, 2 Mo 2.73
Be: 0.0000 0.0000 0.0000  4 Hf 2.57, 2 Mo 2.72
Be: 0.7500 0.2500 0.5000  4 Hf 2.57, 2 Mo 2.72
Mo: 0.2500 0.7500 0.5000  2 Be 2.72, 4 Hf 2.73
Mo: 0.5000 0.5000 0.0000  2 Be 2.72, 4 Hf 2.73

Symmetry: I-42d (122)
Spin magnetization (μB per formula unit): 0.00
ρ (g cm⁻³): 10.731
DFT total energy (eV/cell): -64.77